ReO2: optimized geometry, PBE-GGA.

ρ ... 10.7 g cm⁻³
Energy ... -50.1 eV for the cell shown

abc: 2.7701 2.7701 10.1543
angles: 90.00 90.00 120.00
Space group P6_3/mmc (No. 194)
Symmetry-distinct sites (fractional):
Re 0.3333 0.6667 0.2500 [2 per cell]
O 0.3333 0.6667 0.6205 [4 per cell]